1 | First-principles (PBE-GGA) data for a relaxed Li3TlPd6 crystal, as listed in the Alexandria database.

The structure in POSCAR format:
```
Li3TlPd6
1.0
7.7005 0.0000 0.0000
0.0000 4.3384 0.0000
-2.1648 0.0000 9.0419
Li Tl Pd
6 2 12
Cartesian
-0.5468 1.0846 3.6104
0.7544 3.2538 1.6164
-0.1861 1.0846 8.8714
5.7218 3.2538 0.1705
4.7813 1.0846 7.4256
6.0825 3.2538 5.4316
2.0309 1.0846 5.5618
3.5048 3.2538 3.4802
-1.6470 3.2538 8.1039
-0.6188 1.0846 6.3116
0.7785 3.2538 4.3091
1.8858 1.0846 2.5394
0.9122 3.2538 7.1512
3.1687 3.2538 0.7719
2.3670 1.0846 8.2700
4.6235 1.0846 1.8908
3.6500 3.2538 6.5026
4.7572 1.0846 4.7329
6.1545 3.2538 2.7304
7.1827 1.0846 0.9381
```

Results
- DOS(E_F): 2.45 states/eV/f.u.



2 | First-principles (PBE-GGA) data for a relaxed Li3TlPd6 crystal, as listed in the Alexandria database.

The structure in POSCAR format:
```
Li3TlPd6
1.0
3.7804 -6.2096 0.0000
3.7804 6.2096 0.0000
0.0000 0.0000 6.5846
Li Tl Pd
6 2 12
Cartesian
3.7804 5.0333 3.2923
2.4664 1.6333 0.0664
2.4664 -1.6333 3.3588
5.0944 1.6333 0.0664
5.0944 -1.6333 3.3588
3.7804 -5.0333 0.0000
3.7804 2.2378 2.5576
3.7804 -2.2378 5.8499
1.3941 2.0805 4.3081
1.4011 0.5013 2.1285
1.4011 -0.5013 5.4208
3.7804 3.3204 5.2020
1.3941 -2.0805 1.0158
3.7804 0.4491 4.6069
3.7804 -0.4491 1.3146
6.1667 2.0805 4.3081
3.7804 -3.3204 1.9097
6.1597 0.5013 2.1285
6.1597 -0.5013 5.4208
6.1667 -2.0805 1.0158
```

Results
- DOS(E_F): 3.56 states/eV/f.u.



Going by the computed energies, the most stable comes first: 1, 2.



1 | First-principles (PBE-GGA) data for a relaxed Li2Tl2Pd3 crystal, as listed in the Alexandria database.

The structure in POSCAR format:
```
Li2Tl2Pd3
1.0
6.5295 -1.5186 0.0000
6.5295 1.5186 0.0000
-2.8303 0.0000 6.1297
Li Tl Pd
2 2 3
Cartesian
0.0202 0.0000 2.5615
10.2085 0.0000 3.5682
4.3627 0.0000 1.1443
5.8660 0.0000 4.9854
0.0000 0.0000 0.0000
1.7703 0.0000 4.4274
8.4584 0.0000 1.7023
```

Results
- DOS(E_F): 1.90 states/eV/f.u.



2 | First-principles (PBE-GGA) data for a relaxed Li2Tl2Pd3 crystal, as listed in the Alexandria database.

The structure in POSCAR format:
```
Li2Tl2Pd3
1.0
4.4662 -2.1052 0.0000
4.4662 2.1052 0.0000
-1.3097 0.0000 6.5115
Li Tl Pd
2 2 3
Cartesian
0.7940 0.0000 2.6619
6.8286 0.0000 3.8496
3.4944 0.0000 1.7094
4.1282 0.0000 4.8022
0.0000 0.0000 0.0000
1.3720 0.0000 5.4538
6.2506 0.0000 1.0577
```

Results
- DOS(E_F): 3.01 states/eV/f.u.



Going by the computed energies, the most stable comes first: 2, 1.